The following is a PBE+U calculation of TiVNF2 after structural relaxation, from the Alexandria database.

a b c (Å): 3.926 3.926 4.036
angles (deg): 90.00 90.00 90.00
Each line ends with the local moment (μB).
Atoms (fractional coordinates):
N 0.000 0.000 0.500  -0.25
F 0.000 0.500 0.000  0.04
F 0.500 0.000 0.000  0.04
Ti 0.500 0.500 0.500  1.75
V 0.000 0.000 0.000  2.06

Energy above the lowest structure with this stoichiometry ... 315 meV per atom
Total energy ... -0.4817 Ry per atom
Total magnetic moment ... 4.000 μB/cell
Calculated density ... 4025 kg/m³